1.
# Rb3Bi2O4F3, relaxed, DFT GGA-PBE
# Total energy = -4.721 eV/atom
# Formation energy (no corrections) = -20.5 eV per formula unit
data_Rb3Bi2O4F3
_chemical_formula_sum 'Rb3 Bi2 O4 F3'
_cell_length_a 4.259
_cell_length_b 4.660
_cell_length_c 12.515
_cell_angle_alpha 100.73
_cell_angle_beta 99.80
_cell_angle_gamma 90.00
_space_group_name_H-M_alt 'P 1'
_space_group_IT_number 1
loop_
_space_group_symop_operation_xyz
'x,y,z'
loop_
_atom_site_label
_atom_site_type_symbol
_atom_site_fract_x
_atom_site_fract_y
_atom_site_fract_z
Rb1 Rb 0.502 0.500 0.000
Rb2 Rb 0.307 0.304 0.608
Rb3 Rb 0.698 0.696 0.392
Bi1 Bi 0.107 0.104 0.208
Bi2 Bi 0.898 0.896 0.792
O1 O 0.414 0.912 0.824
O2 O 0.191 0.189 0.378
O3 O 0.813 0.811 0.622
O4 O 0.591 0.088 0.176
F1 F 0.002 0.000 0.000
F2 F 0.100 0.597 0.194
F3 F 0.905 0.403 0.806

2.
# ReBiO4F, relaxed, DFT GGA-PBE
# Total energy = -7.019 eV/atom
# Formation energy (no corrections) = -11.1 eV per formula unit
data_ReBiO4F
_chemical_formula_sum 'Re2 Bi2 O8 F2'
_cell_length_a 6.146
_cell_length_b 6.146
_cell_length_c 7.246
_cell_angle_alpha 76.88
_cell_angle_beta 76.88
_cell_angle_gamma 72.23
_space_group_name_H-M_alt 'P 1'
_space_group_IT_number 1
loop_
_space_group_symop_operation_xyz
'x,y,z'
loop_
_atom_site_label
_atom_site_type_symbol
_atom_site_fract_x
_atom_site_fract_y
_atom_site_fract_z
Re1 Re 0.648 0.648 0.704
Re2 Re 0.352 0.352 0.296
Bi1 Bi 0.202 0.202 0.907
Bi2 Bi 0.798 0.798 0.093
O1 O 0.245 0.245 0.533
O2 O 0.755 0.755 0.467
O3 O 0.123 0.476 0.146
O4 O 0.534 0.534 0.261
O5 O 0.524 0.877 0.854
O6 O 0.476 0.123 0.146
O7 O 0.466 0.466 0.739
O8 O 0.877 0.524 0.854
F1 F 0.015 0.015 0.169
F2 F 0.985 0.985 0.831

3.
# ReBiO2F, relaxed, DFT GGA-PBE
# Total energy = -5.395 eV/atom
# Formation energy (no corrections) = 1.1 eV per formula unit
data_ReBiO2F
_chemical_formula_sum 'Re1 Bi1 O2 F1'
_cell_length_a 4.472
_cell_length_b 4.472
_cell_length_c 4.477
_cell_angle_alpha 90.00
_cell_angle_beta 90.00
_cell_angle_gamma 90.00
_space_group_name_H-M_alt 'P 1'
_space_group_IT_number 1
loop_
_space_group_symop_operation_xyz
'x,y,z'
loop_
_atom_site_label
_atom_site_type_symbol
_atom_site_fract_x
_atom_site_fract_y
_atom_site_fract_z
Re1 Re 0.500 0.500 0.500
Bi1 Bi 0.000 0.000 0.000
O1 O 0.000 0.500 0.000
O2 O 0.500 0.000 0.000
F1 F 0.000 0.000 0.500

4.
# ReBiO2F, relaxed, DFT GGA-PBE
# Total energy = -6.496 eV/atom
# Formation energy (no corrections) = -4.4 eV per formula unit
data_ReBiO2F
_chemical_formula_sum 'Re1 Bi1 O2 F1'
_cell_length_a 3.757
_cell_length_b 3.757
_cell_length_c 6.271
_cell_angle_alpha 90.00
_cell_angle_beta 90.00
_cell_angle_gamma 90.00
_space_group_name_H-M_alt 'P 1'
_space_group_IT_number 1
loop_
_space_group_symop_operation_xyz
'x,y,z'
loop_
_atom_site_label
_atom_site_type_symbol
_atom_site_fract_x
_atom_site_fract_y
_atom_site_fract_z
Re1 Re 0.000 0.000 0.000
Bi1 Bi 0.500 0.500 0.500
O1 O 0.000 0.500 0.000
O2 O 0.500 0.000 0.000
F1 F 0.000 0.000 0.500

5.
# BiRhOF2, relaxed, DFT GGA-PBE
# Energy above the most stable polymorph in this dataset = 76 meV per atom
# Total energy = -4.655 eV/atom
# Formation energy (no corrections) = -3.3 eV per formula unit
data_BiRhOF2
_chemical_formula_sum 'Bi1 Rh1 O1 F2'
_cell_length_a 4.549
_cell_length_b 4.549
_cell_length_c 4.500
_cell_angle_alpha 90.00
_cell_angle_beta 90.00
_cell_angle_gamma 90.00
_space_group_name_H-M_alt 'P 1'
_space_group_IT_number 1
loop_
_space_group_symop_operation_xyz
'x,y,z'
loop_
_atom_site_label
_atom_site_type_symbol
_atom_site_fract_x
_atom_site_fract_y
_atom_site_fract_z
Rh1 Rh 0.500 0.500 0.500
Bi1 Bi 0.000 0.000 0.000
O1 O 0.000 0.000 0.500
F1 F 0.000 0.500 0.000
F2 F 0.500 0.000 0.000

6.
# BiRhOF2, relaxed, DFT GGA-PBE
# Energy above the most stable polymorph in this dataset = 398 meV per atom
# Total energy = -4.332 eV/atom
# Formation energy (no corrections) = -1.7 eV per formula unit
data_BiRhOF2
_chemical_formula_sum 'Bi1 Rh1 O1 F2'
_cell_length_a 4.378
_cell_length_b 4.378
_cell_length_c 5.419
_cell_angle_alpha 90.00
_cell_angle_beta 90.00
_cell_angle_gamma 90.00
_space_group_name_H-M_alt 'P 1'
_space_group_IT_number 1
loop_
_space_group_symop_operation_xyz
'x,y,z'
loop_
_atom_site_label
_atom_site_type_symbol
_atom_site_fract_x
_atom_site_fract_y
_atom_site_fract_z
Rh1 Rh 0.000 0.000 0.500
Bi1 Bi 0.000 0.000 0.000
O1 O 0.500 0.500 0.500
F1 F 0.000 0.500 0.000
F2 F 0.500 0.000 0.000

7.
# BiRhOF2, relaxed, DFT GGA-PBE
# Energy above the most stable polymorph in this dataset = 0 meV per atom
# Total energy = -4.731 eV/atom
# Formation energy (no corrections) = -3.7 eV per formula unit
data_BiRhOF2
_chemical_formula_sum 'Bi1 Rh1 O1 F2'
_cell_length_a 4.475
_cell_length_b 4.475
_cell_length_c 3.806
_cell_angle_alpha 90.00
_cell_angle_beta 90.00
_cell_angle_gamma 90.00
_space_group_name_H-M_alt 'P 1'
_space_group_IT_number 1
loop_
_space_group_symop_operation_xyz
'x,y,z'
loop_
_atom_site_label
_atom_site_type_symbol
_atom_site_fract_x
_atom_site_fract_y
_atom_site_fract_z
Rh1 Rh 0.000 0.000 0.000
Bi1 Bi 0.500 0.500 0.500
O1 O 0.000 0.000 0.500
F1 F 0.000 0.500 0.000
F2 F 0.500 0.000 0.000

8.
# Bi2SO4F2, relaxed, DFT GGA-PBE
# Total energy = -5.106 eV/atom
# Formation energy (no corrections) = -10.5 eV per formula unit
data_Bi2SO4F2
_chemical_formula_sum 'Bi2 S1 O4 F2'
_cell_length_a 8.125
_cell_length_b 9.225
_cell_length_c 9.225
_cell_angle_alpha 34.25
_cell_angle_beta 153.77
_cell_angle_gamma 153.77
_space_group_name_H-M_alt 'P 1'
_space_group_IT_number 1
loop_
_space_group_symop_operation_xyz
'x,y,z'
loop_
_atom_site_label
_atom_site_type_symbol
_atom_site_fract_x
_atom_site_fract_y
_atom_site_fract_z
Bi1 Bi 0.049 0.635 0.635
Bi2 Bi 0.951 0.365 0.365
S1 S 0.500 0.000 0.000
O1 O 0.477 0.695 0.142
O2 O 0.523 0.858 0.305
O3 O 0.523 0.305 0.858
O4 O 0.477 0.142 0.695
F1 F 0.506 0.710 0.710
F2 F 0.494 0.290 0.290